Density functional theory data (PBE-GGA) for a relaxed CeY3Er4 crystal.

Calculated values
Formation energy from the elements (eV/atom): 0.197
Relative energy among the computed polymorphs (meV per atom): 0
Total moment (μB per formula unit): 1.02

Unit cell a=23.3774 b=3.4121 c=6.6853 alpha=90.00 beta=106.60 gamma=90.00
Space group C2/m (No. 12)
Asymmetric unit:
Ce 0.0000 0.0000 0.0000 [2 per cell]
Y 0.0000 0.5000 0.5000 [2 per cell]
Y 0.1261 0.5000 0.3694 [4 per cell]
Er 0.1251 0.5000 0.8835 [4 per cell]
Er 0.2408 0.0000 0.2354 [4 per cell]